## Zr4TaIr (PBE)

Data for an optimized crystal structure of Zr4TaIr.

Output
E_form	0.4326	eV per atom
ρ	10.0	Mg/m³
energy	-8.718	eV per atom
total magnetic moment	0.000	Bohr magnetons per cell
N(E_F)	30.0	states/eV/cell

```
data_Zr4TaIr
_chemical_formula_sum 'Zr16 Ta4 Ir4'
_cell_length_a 7.890
_cell_length_b 7.890
_cell_length_c 7.890
_cell_angle_alpha 90.00
_cell_angle_beta 90.00
_cell_angle_gamma 90.00
_space_group_name_H-M_alt 'F -4 3 m'
_space_group_IT_number 216
_space_group_name_Hall 'F -4 2 3'
loop_
_atom_site_label
_atom_site_fract_x
_atom_site_fract_y
_atom_site_fract_z
_atom_site_occupancy
Zr1 0.125 0.125 0.125 1
Ta1 0.000 0.000 0.500 1
Ir1 0.250 0.250 0.750 1
```


## KY2In (PBE)

Data for an optimized crystal structure of KY2In.

Output
E_form	0.1891	eV per atom
ρ	3.9	Mg/m³
energy	-4.002	eV per atom
total magnetic moment	0.681	Bohr magnetons per cell
N(E_F)	9.6	states/eV/cell

```
data_KY2In
_chemical_formula_sum 'K2 Y4 In2'
_cell_length_a 11.582
_cell_length_b 3.475
_cell_length_c 7.017
_cell_angle_alpha 90.00
_cell_angle_beta 97.73
_cell_angle_gamma 90.00
_space_group_name_H-M_alt 'C 1 m 1'
_space_group_IT_number 8
loop_
_space_group_symop_operation_xyz
'x,y,z'
'x,-y,z'
'x+1/2,y+1/2,z'
'x+1/2,-y+1/2,z'
loop_
_atom_site_label
_atom_site_fract_x
_atom_site_fract_y
_atom_site_fract_z
_atom_site_occupancy
K1 0.000 0.000 0.000 1
Y1 0.228 0.000 0.676 1
Y2 0.485 0.000 0.480 1
In1 0.247 0.500 0.285 1
```


## LiTmPbAu (PBE)

Data for an optimized crystal structure of LiTmPbAu.

Output
E_form	-0.5259	eV per atom
ρ	11.0	Mg/m³
energy	-3.869	eV per atom
total magnetic moment	0.000	Bohr magnetons per cell
N(E_F)	12.4	states/eV/cell

```
data_LiTmPbAu
_chemical_formula_sum 'Li4 Tm4 Pb4 Au4'
_cell_length_a 7.055
_cell_length_b 7.055
_cell_length_c 7.055
_cell_angle_alpha 90.00
_cell_angle_beta 90.00
_cell_angle_gamma 90.00
_space_group_name_H-M_alt 'F -4 3 m'
_space_group_IT_number 216
_space_group_name_Hall 'F -4 2 3'
loop_
_atom_site_label
_atom_site_fract_x
_atom_site_fract_y
_atom_site_fract_z
_atom_site_occupancy
Li1 0.000 0.000 0.000 1
Tm1 0.000 0.000 0.500 1
Pb1 0.250 0.250 0.250 1
Au1 0.250 0.250 0.750 1
```


## KBaH2 (PBE)

Data for an optimized crystal structure of KBaH2.

Output
ρ	2.4	Mg/m³
energy	-2.571	eV per atom
total magnetic moment	3.405	Bohr magnetons per cell
N(E_F)	9.6	states/eV/cell

```
data_KBaH2
_chemical_formula_sum 'K4 Ba4 H8'
_cell_length_a 6.254
_cell_length_b 6.254
_cell_length_c 12.627
_cell_angle_alpha 90.00
_cell_angle_beta 90.00
_cell_angle_gamma 90.00
_space_group_name_H-M_alt 'I -4 2 d'
_space_group_IT_number 122
_space_group_name_Hall 'I -4 2bw'
loop_
_atom_site_label
_atom_site_fract_x
_atom_site_fract_y
_atom_site_fract_z
_atom_site_occupancy
K1 0.000 0.000 0.000 1
Ba1 0.000 0.000 0.500 1
H1 0.199 0.250 0.625 1
```


## SmHoUO6 (PBE)

Data for an optimized crystal structure of SmHoUO6.

Output
ρ	7.8	Mg/m³
energy	-8.938	eV per atom
formation energy from raw total energies	-3.35	eV/atom
total magnetic moment	0.000	Bohr magnetons per cell
N(E_F)	0.0	states/eV/cell

```
data_SmHoUO6
_chemical_formula_sum 'Sm2 Ho2 U2 O12'
_cell_length_a 5.7885
_cell_length_b 5.7885
_cell_length_c 9.5875
_cell_angle_alpha 90.00
_cell_angle_beta 90.00
_cell_angle_gamma 120.00
_space_group_name_H-M_alt 'P -3 1 c'
_space_group_IT_number 163
_space_group_name_Hall '-P 3 2c'
loop_
_atom_site_label
_atom_site_fract_x
_atom_site_fract_y
_atom_site_fract_z
_atom_site_occupancy
Sm1 0.0000 0.0000 0.0000 1
Ho1 0.3333 0.6667 0.2500 1
U1 0.3333 0.6667 0.7500 1
O1 0.0214 0.3590 0.6361 1
```


## V6GaSb (PBE)

Data for an optimized crystal structure of V6GaSb.

Output
ρ	7.1	Mg/m³
energy	-7.875	eV per atom
formation energy from raw total energies	-0.14	eV/atom
total magnetic moment	0.001	Bohr magnetons per cell
N(E_F)	11.8	states/eV/cell

```
data_V6GaSb
_chemical_formula_sum 'V12 Ga2 Sb2'
_cell_length_a 4.366
_cell_length_b 5.879
_cell_length_c 9.047
_cell_angle_alpha 90.00
_cell_angle_beta 90.00
_cell_angle_gamma 90.00
_space_group_name_H-M_alt 'A m m 2'
_space_group_IT_number 38
loop_
_space_group_symop_operation_xyz
'x,y,z'
'-x,-y,z'
'-x,y,z'
'x,-y,z'
'x,y+1/2,z+1/2'
'-x,-y+1/2,z+1/2'
'-x,y+1/2,z+1/2'
'x,-y+1/2,z+1/2'
loop_
_atom_site_label
_atom_site_fract_x
_atom_site_fract_y
_atom_site_fract_z
_atom_site_occupancy
V1 0.000 0.000 0.000 1
V2 0.000 0.231 0.229 1
V3 0.500 0.000 0.262 1
V4 0.500 0.248 0.532 1
Ga1 0.000 0.000 0.477 1
Sb1 0.500 0.000 0.787 1
```